HfGa2Ag | PBE-GGA | optimized geometry

Cell and atoms, written as CIF:
```
data_HfGa2Ag
_chemical_formula_sum 'Hf4 Ga8 Ag4'
_symmetry_space_group_name_H-M 'I -4 2 d'
_symmetry_Int_Tables_number 122
_symmetry_space_group_name_Hall 'I -4 2bw'
_cell_length_a 7.2881
_cell_length_b 7.2881
_cell_length_c 5.8123
_cell_angle_alpha 90.00
_cell_angle_beta 90.00
_cell_angle_gamma 90.00
loop_
_atom_site_label
_atom_site_fract_x
_atom_site_fract_y
_atom_site_fract_z
_atom_site_occupancy
Hf1 0.0000 0.0000 0.0000 1
Ga1 0.2287 0.7500 0.6250 1
Ag1 0.0000 0.0000 0.5000 1
```

* calculated volume: 19.30 A^3/atom
* E_form: 16 meV per atom
* N(E_F): 10.20 states/eV per cell

***

TiPt6Rh | PBE-GGA | optimized geometry

Cell and atoms, written as CIF:
```
data_TiPt6Rh
_chemical_formula_sum 'Ti1 Pt6 Rh1'
_symmetry_space_group_name_H-M 'P 4/m m m'
_symmetry_Int_Tables_number 123
_symmetry_space_group_name_Hall '-P 4 2'
_cell_length_a 5.5987
_cell_length_b 5.5987
_cell_length_c 3.9204
_cell_angle_alpha 90.00
_cell_angle_beta 90.00
_cell_angle_gamma 90.00
loop_
_atom_site_label
_atom_site_fract_x
_atom_site_fract_y
_atom_site_fract_z
_atom_site_occupancy
Ti1 0.0000 0.0000 0.0000 1
Pt1 0.0000 0.5000 0.0000 1
Pt2 0.2473 0.2473 0.5000 1
Rh1 0.5000 0.5000 0.0000 1
```

* calculated volume: 15.36 A^3/atom
* E_form: -427 meV per atom
* N(E_F): 12.83 states/eV per cell

***

SiHS2Cl | PBE-GGA | optimized geometry

Cell and atoms, written as CIF:
```
data_SiHS2Cl
_chemical_formula_sum 'Si1 H1 S2 Cl1'
_symmetry_space_group_name_H-M 'P 4/m m m'
_symmetry_Int_Tables_number 123
_symmetry_space_group_name_Hall '-P 4 2'
_cell_length_a 4.4721
_cell_length_b 4.4721
_cell_length_c 4.8392
_cell_angle_alpha 90.00
_cell_angle_beta 90.00
_cell_angle_gamma 90.00
loop_
_atom_site_label
_atom_site_fract_x
_atom_site_fract_y
_atom_site_fract_z
_atom_site_occupancy
Si1 0.0000 0.0000 0.0000 1
H1 0.5000 0.5000 0.5000 1
S1 0.0000 0.5000 0.0000 1
Cl1 0.0000 0.0000 0.5000 1
```

* calculated total energy: -16.070 eV for the cell shown
* calculated volume: 19.36 A^3/atom
* N(E_F): 3.64 states/eV per cell

***

HfSc2Ge | PBE-GGA | optimized geometry

Cell and atoms, written as CIF:
```
data_HfSc2Ge
_chemical_formula_sum 'Hf3 Sc6 Ge3'
_symmetry_space_group_name_H-M 'R -3 m'
_symmetry_Int_Tables_number 166
_symmetry_space_group_name_Hall '-R 3 2"'
_cell_length_a 3.1407
_cell_length_b 3.1407
_cell_length_c 30.9406
_cell_angle_alpha 90.00
_cell_angle_beta 90.00
_cell_angle_gamma 120.00
loop_
_atom_site_label
_atom_site_fract_x
_atom_site_fract_y
_atom_site_fract_z
_atom_site_occupancy
Hf1 0.0000 0.0000 0.0000 1
Sc1 0.0000 0.0000 0.0967 1
Ge1 0.0000 0.0000 0.5000 1
```

* calculated volume: 22.03 A^3/atom
* E_form: 64 meV per atom
* N(E_F): 13.08 states/eV per cell

***

TmNb2Ga | PBE-GGA | optimized geometry

Cell and atoms, written as CIF:
```
data_TmNb2Ga
_chemical_formula_sum 'Tm3 Nb6 Ga3'
_symmetry_space_group_name_H-M 'R -3 m'
_symmetry_Int_Tables_number 166
_symmetry_space_group_name_Hall '-R 3 2"'
_cell_length_a 2.9777
_cell_length_b 2.9777
_cell_length_c 31.7662
_cell_angle_alpha 90.00
_cell_angle_beta 90.00
_cell_angle_gamma 120.00
loop_
_atom_site_label
_atom_site_fract_x
_atom_site_fract_y
_atom_site_fract_z
_atom_site_occupancy
Tm1 0.0000 0.0000 0.0000 1
Nb1 0.0000 0.0000 0.0945 1
Ga1 0.0000 0.0000 0.5000 1
```

* calculated volume: 20.33 A^3/atom
* E_form: 343 meV per atom
* N(E_F): 17.39 states/eV per cell

***

ScPPbSe2 | PBE-GGA | optimized geometry

Cell and atoms, written as CIF:
```
data_ScPPbSe2
_chemical_formula_sum 'Sc1 P1 Pb1 Se2'
_symmetry_space_group_name_H-M 'P 4/m m m'
_symmetry_Int_Tables_number 123
_symmetry_space_group_name_Hall '-P 4 2'
_cell_length_a 5.3273
_cell_length_b 5.3273
_cell_length_c 5.6939
_cell_angle_alpha 90.00
_cell_angle_beta 90.00
_cell_angle_gamma 90.00
loop_
_atom_site_label
_atom_site_fract_x
_atom_site_fract_y
_atom_site_fract_z
_atom_site_occupancy
Sc1 0.0000 0.0000 0.0000 1
P1 0.5000 0.5000 0.0000 1
Pb1 0.0000 0.0000 0.5000 1
Se1 0.0000 0.5000 0.5000 1
```

* E_form (uncorrected): 918 meV/atom
* calculated volume: 32.32 A^3/atom
* N(E_F): 5.66 states/eV per cell

***

ZrTi3Tl | PBE-GGA | optimized geometry

Cell and atoms, written as CIF:
```
data_ZrTi3Tl
_chemical_formula_sum 'Zr1 Ti3 Tl1'
_symmetry_space_group_name_H-M 'P m -3 m'
_symmetry_Int_Tables_number 221
_symmetry_space_group_name_Hall '-P 4 2 3'
_cell_length_a 4.8754
_cell_length_b 4.8754
_cell_length_c 4.8754
_cell_angle_alpha 90.00
_cell_angle_beta 90.00
_cell_angle_gamma 90.00
loop_
_atom_site_label
_atom_site_fract_x
_atom_site_fract_y
_atom_site_fract_z
_atom_site_occupancy
Zr1 0.0000 0.0000 0.0000 1
Ti1 0.0000 0.0000 0.5000 1
Tl1 0.5000 0.5000 0.5000 1
```

* calculated volume: 23.18 A^3/atom
* E_form: 1070 meV per atom
* N(E_F): 7.24 states/eV per cell

***

Question: Among the records above, which one has the highest N(E_F)?
Answer: TmNb2Ga